Entry 1:
# Ca2ZnBO (PBE-GGA, relaxed)
data_Ca2ZnBO
_chemical_formula_sum 'Ca2 Zn1 B1 O1'
_symmetry_space_group_name_H-M 'P 4/m m m'
_symmetry_Int_Tables_number 123
_symmetry_space_group_name_Hall '-P 4 2'
_cell_length_a 4.659
_cell_length_b 4.659
_cell_length_c 4.094
_cell_angle_alpha 90.00
_cell_angle_beta 90.00
_cell_angle_gamma 90.00
loop_
_atom_site_label
_atom_site_type_symbol
_atom_site_fract_x
_atom_site_fract_y
_atom_site_fract_z
Ca1 Ca 0.000 0.500 0.000
Zn1 Zn 0.000 0.000 0.500
B1 B 0.500 0.500 0.500
O1 O 0.000 0.000 0.000
# Raw formation energy, kJ/mol of formula units: -242
# Fermi-level density of states, states/eV per cell: 2.196

Entry 2:
# CaZrB2O (PBE-GGA, relaxed)
data_CaZrB2O
_chemical_formula_sum 'Ca1 Zr1 B2 O1'
_symmetry_space_group_name_H-M 'P 4/m m m'
_symmetry_Int_Tables_number 123
_symmetry_space_group_name_Hall '-P 4 2'
_cell_length_a 4.388
_cell_length_b 4.388
_cell_length_c 4.035
_cell_angle_alpha 90.00
_cell_angle_beta 90.00
_cell_angle_gamma 90.00
loop_
_atom_site_label
_atom_site_type_symbol
_atom_site_fract_x
_atom_site_fract_y
_atom_site_fract_z
Ca1 Ca 0.000 0.000 0.000
Zr1 Zr 0.500 0.500 0.000
B1 B 0.000 0.500 0.500
O1 O 0.500 0.500 0.500
# Raw formation energy, kJ/mol of formula units: 205
# Fermi-level density of states, states/eV per cell: 1.581

Entry 3:
# CaB3Os (PBE-GGA, relaxed)
data_CaB3Os
_chemical_formula_sum 'Ca3 B9 Os3'
_symmetry_space_group_name_H-M 'R 3 m'
_symmetry_Int_Tables_number 160
_symmetry_space_group_name_Hall 'R 3 -2"'
_cell_length_a 5.1085
_cell_length_b 5.1085
_cell_length_c 8.5617
_cell_angle_alpha 90.00
_cell_angle_beta 90.00
_cell_angle_gamma 120.00
loop_
_atom_site_label
_atom_site_type_symbol
_atom_site_fract_x
_atom_site_fract_y
_atom_site_fract_z
Ca1 Ca 0.0000 0.0000 0.0000
B1 B 0.1042 0.5521 0.9564
Os1 Os 0.0000 0.0000 0.5304
# Fermi-level density of states, states/eV per cell: 5.433
# Calculated formation energy, eV/atom: -0.057
# ΔE to the lowest computed polymorph, meV/atom: 0.0